[1]
This record from Alexandria via LeMat-Bulk describes a geometry-optimized K2NaGaF6 structure. The functional is GGA-PBE.

**VASP energy**: -4.61 eV per atom
**Magnetic moment**: 0.00 μB per cell

Unit cell a=5.9306 b=5.9306 c=5.9306 alpha=60.00 beta=60.00 gamma=60.00
Last column: nearest neighbours and their distance in Å.
Atoms (fractional coordinates):
1 Na 0.5000 0.5000 0.5000  6 F 2.27
2 K 0.2500 0.2500 0.2500  12 F 2.97
3 K 0.7500 0.7500 0.7500  12 F 2.97
4 Ga 0.0000 0.0000 0.0000  6 F 1.93
5 F 0.2297 0.7703 0.7703  1 Ga 1.93
6 F 0.7703 0.2297 0.7703  1 Ga 1.93
7 F 0.2297 0.7703 0.2297  1 Ga 1.93
8 F 0.2297 0.2297 0.7703  1 Ga 1.93
9 F 0.7703 0.7703 0.2297  1 Ga 1.93
10 F 0.7703 0.2297 0.2297  1 Ga 1.93

[2]
This record from Alexandria via LeMat-Bulk describes a geometry-optimized HfZnPb2 structure. The functional is GGA-PBE.

**ΔH_f (0 K)**: 0.37 eV/atom
**VASP energy**: -4.29 eV per atom
**Magnetic moment**: 0.00 μB per cell

Unit cell a=7.9725 b=7.9725 c=6.4319 alpha=51.70 beta=51.70 gamma=90.00
Last column: nearest neighbours and their distance in Å.
Atoms (fractional coordinates):
1 Pb 0.5973 0.1250 0.2500  2 Zn 2.78, 2 Hf 3.08
2 Pb 0.1527 0.6250 0.2500  2 Zn 2.78, 2 Hf 3.08
3 Pb 0.3750 0.4027 0.7500  2 Zn 2.78, 2 Hf 3.08
4 Pb 0.8750 0.8473 0.7500  2 Zn 2.78, 2 Hf 3.08
5 Zn 0.5000 0.5000 0.0000  4 Pb 2.78, 2 Hf 3.10
6 Zn 0.2500 0.7500 0.5000  4 Pb 2.78, 2 Hf 3.10
7 Hf 0.0000 0.0000 0.0000  4 Pb 3.08, 2 Zn 3.10
8 Hf 0.7500 0.2500 0.5000  4 Pb 3.08, 2 Zn 3.10

[3]
This record from Alexandria via LeMat-Bulk describes a geometry-optimized Nd6SnSe12 structure. The functional is GGA-PBE.

**VASP energy**: -5.39 eV per atom
**Magnetic moment**: 0.00 μB per cell

Unit cell a=8.3789 b=8.3789 c=8.3789 alpha=98.28 beta=98.28 gamma=98.28
Last column: nearest neighbours and their distance in Å.
Atoms (fractional coordinates):
1 Nd 0.6771 0.8610 0.3603  7 Se 2.92-3.20
2 Nd 0.6397 0.3229 0.1390  7 Se 2.92-3.20
3 Nd 0.1390 0.6397 0.3229  7 Se 2.92-3.20
4 Nd 0.3229 0.1390 0.6397  7 Se 2.92-3.20
5 Nd 0.3603 0.6771 0.8610  7 Se 2.92-3.20
6 Nd 0.8610 0.3603 0.6771  7 Se 2.92-3.20
7 Sn 0.0000 0.0000 0.0000  6 Se 2.81
8 Se 0.8185 0.5708 0.4212  4 Nd 2.92-2.98
9 Se 0.4212 0.8185 0.5708  4 Nd 2.92-2.98
10 Se 0.5708 0.4212 0.8185  4 Nd 2.92-2.98
11 Se 0.1815 0.4292 0.5788  4 Nd 2.92-2.98
12 Se 0.5788 0.1815 0.4292  4 Nd 2.92-2.98
13 Se 0.4292 0.5788 0.1815  4 Nd 2.92-2.98
14 Se 0.0398 0.9804 0.3355  1 Sn 2.81, 1 Se 2.91, 2 Nd 3.08-3.11
15 Se 0.0196 0.6645 0.9602  1 Sn 2.81, 1 Se 2.91, 2 Nd 3.08-3.11
16 Se 0.6645 0.9602 0.0196  1 Sn 2.81, 1 Se 2.91, 2 Nd 3.08-3.11
17 Se 0.9602 0.0196 0.6645  1 Sn 2.81, 1 Se 2.91, 2 Nd 3.08-3.11
18 Se 0.9804 0.3355 0.0398  1 Sn 2.81, 1 Se 2.91, 2 Nd 3.08-3.11
19 Se 0.3355 0.0398 0.9804  1 Sn 2.81, 1 Se 2.91, 2 Nd 3.08-3.11

[4]
This record from Alexandria via LeMat-Bulk describes a geometry-optimized AlCdS2 structure. The functional is GGA-PBE.

**VASP energy**: -3.74 eV per atom
**Magnetic moment**: 0.00 μB per cell
**Polymorph energy (0 for the lowest one)**: 0.77 eV per formula unit

Unit cell a=4.6448 b=3.9346 c=6.2919 alpha=88.62 beta=90.08 gamma=126.13
Last column: nearest neighbours and their distance in Å.
Atoms (fractional coordinates):
1 Al 0.3799 0.7855 0.1788  4 S 2.35-2.50
2 Cd 0.7580 0.5373 0.6868  4 S 2.58-2.61
3 S 0.7609 0.5473 0.1013  3 Al 2.46-2.50, 1 Cd 2.61
4 S 0.3785 0.7793 0.5518  1 Al 2.35, 3 Cd 2.58